## NdInPbS3 (PBE)

Data for crystalline NdInPbS3 at its relaxed geometry.

Geometry as POSCAR:
```
NdInPbS3
1.0
-7.317 -0.386 -1.418
5.858 -2.675 3.771
-2.014 7.398 8.375
S In Pb Nd
6 2 2 2
Direct
0.507 0.493 0.250
0.134 0.866 0.001
0.866 0.134 0.501
0.493 0.507 0.750
0.134 0.866 0.499
0.866 0.134 0.999
0.851 0.149 0.750
0.149 0.851 0.250
0.842 0.158 0.250
0.158 0.842 0.750
0.500 0.500 0.000
0.500 0.500 0.500
```

Properties
- Energy: -4.90 eV/atom
- Space group: Cmcm (63)